{"formula": "TaTe", "functional": "GGA-PBE", "state": "optimized geometry", "lattice_angstrom": [[4.7963, -1.7489, 0.0000], [4.7963, 1.7489, 0.0000], [-1.3553, 0.0000, 5.0027]], "species": ["Ta", "Ta", "Te", "Te"], "fractional_positions": [[0.1300, 0.1300, 0.3510], [0.8700, 0.8700, 0.6490], [0.3857, 0.3857, 0.1874], [0.6143, 0.6143, 0.8126]], "e_tot_ev_per_cell": -29.6, "formation_energy_uncorrected_ev_per_atom": 0.086}

{"formula": "TaTe3", "functional": "GGA-PBE", "state": "optimized geometry", "lattice_angstrom": [[1.7866, 1.0315, 10.0233], [-1.7866, 1.0315, 10.0233], [0.0000, -2.0629, 10.0233]], "species": ["Ta", "Te", "Te", "Te"], "fractional_positions": [[0.0000, 0.0000, 0.0000], [0.2703, 0.2703, 0.2703], [0.5000, 0.5000, 0.5000], [0.7297, 0.7297, 0.7297]], "e_tot_ev_per_cell": -21.7, "formation_energy_uncorrected_ev_per_atom": -0.108}